Density functional theory data (PBE) for crystalline Rb2NaZrCl6 at its relaxed geometry.

Unit cell a=13.5044 b=13.5044 c=13.5044 alpha=32.05 beta=32.05 gamma=32.05
Closest atoms and distances in Å follow each position.
Fractional coordinates of all 20 atoms:
Rb 0.1315 0.1315 0.1315  9 Cl 3.57-3.73
Rb 0.2960 0.2960 0.2960  9 Cl 3.67-3.73
Rb 0.7040 0.7040 0.7040  9 Cl 3.67-3.73
Rb 0.8685 0.8685 0.8685  9 Cl 3.57-3.73
Na 0.4131 0.4131 0.4131  6 Cl 2.72-2.82
Na 0.5869 0.5869 0.5869  6 Cl 2.72-2.82
Zr 0.0000 0.0000 0.0000  6 Cl 2.56
Zr 0.5000 0.5000 0.5000  6 Cl 2.57
Cl 0.1351 0.6252 0.6252  1 Zr 2.57, 1 Na 2.82
Cl 0.2001 0.2001 0.7157  1 Zr 2.56, 1 Na 2.72
Cl 0.2001 0.7157 0.2001  1 Zr 2.56, 1 Na 2.72
Cl 0.2843 0.7999 0.7999  1 Zr 2.56, 1 Na 2.72
Cl 0.3748 0.3748 0.8649  1 Zr 2.57, 1 Na 2.82
Cl 0.3748 0.8649 0.3748  1 Zr 2.57, 1 Na 2.82
Cl 0.6252 0.1351 0.6252  1 Zr 2.57, 1 Na 2.82
Cl 0.6252 0.6252 0.1351  1 Zr 2.57, 1 Na 2.82
Cl 0.7157 0.2001 0.2001  1 Zr 2.56, 1 Na 2.72
Cl 0.7999 0.2843 0.7999  1 Zr 2.56, 1 Na 2.72
Cl 0.7999 0.7999 0.2843  1 Zr 2.56, 1 Na 2.72
Cl 0.8649 0.3748 0.3748  1 Zr 2.57, 1 Na 2.82

Output
- formation energy from raw total energies (meV per atom) = -1818

***

Density functional theory data (PBE) for crystalline NaReCl5 at its relaxed geometry.

Unit cell a=6.8203 b=6.8203 c=9.1723 alpha=108.02 beta=108.02 gamma=72.34
Closest atoms and distances in Å follow each position.
Fractional coordinates of all 14 atoms:
Na 0.0231 0.9769 0.7500  5 Cl 2.79-2.99
Na 0.9769 0.0231 0.2500  5 Cl 2.79-2.99
Re 0.5000 0.5000 0.0000  6 Cl 2.34-2.44
Re 0.5000 0.5000 0.5000  6 Cl 2.34-2.44
Cl 0.1575 0.6962 0.0249  1 Re 2.35
Cl 0.1936 0.3709 0.3718  1 Re 2.34
Cl 0.3038 0.8425 0.4751  1 Re 2.35
Cl 0.3709 0.1936 0.8718  1 Re 2.34
Cl 0.3946 0.6054 0.7500  2 Re 2.44
Cl 0.6054 0.3946 0.2500  2 Re 2.44
Cl 0.6291 0.8064 0.1282  1 Re 2.34
Cl 0.6962 0.1575 0.5249  1 Re 2.35
Cl 0.8064 0.6291 0.6282  1 Re 2.34
Cl 0.8425 0.3038 0.9751  1 Re 2.35

Output
- formation energy from raw total energies (meV per atom) = -862

***

Density functional theory data (PBE) for crystalline Na2ReCl7 at its relaxed geometry.

Unit cell a=9.3896 b=9.3896 c=12.0527 alpha=124.58 beta=124.58 gamma=48.04
Closest atoms and distances in Å follow each position.
Fractional coordinates of all 20 atoms:
Na 0.1647 0.6954 0.9842  5 Cl 2.75-3.02
Na 0.3046 0.8353 0.5158  5 Cl 2.75-3.02
Na 0.6954 0.1647 0.4842  5 Cl 2.75-3.02
Na 0.8353 0.3046 0.0158  5 Cl 2.75-3.02
Re 0.1958 0.8042 0.7500  7 Cl 2.40-2.49
Re 0.8042 0.1958 0.2500  7 Cl 2.40-2.49
Cl 0.0365 0.2679 0.2927  1 Re 2.41
Cl 0.0551 0.7496 0.4994  1 Re 2.40
Cl 0.1297 0.8703 0.2500  1 Re 2.49, 2 Na 2.75
Cl 0.2504 0.9449 0.0006  1 Re 2.40
Cl 0.2679 0.0365 0.7927  1 Re 2.41
Cl 0.4052 0.4963 0.8138  1 Re 2.45
Cl 0.4963 0.4052 0.3138  1 Re 2.45
Cl 0.5037 0.5948 0.6862  1 Re 2.45
Cl 0.5948 0.5037 0.1862  1 Re 2.45
Cl 0.7321 0.9635 0.2073  1 Re 2.41
Cl 0.7496 0.0551 0.9994  1 Re 2.40
Cl 0.8703 0.1297 0.7500  1 Re 2.49, 2 Na 2.75
Cl 0.9449 0.2504 0.5006  1 Re 2.40
Cl 0.9635 0.7321 0.7073  1 Re 2.41

Output
- formation energy from raw total energies (meV per atom) = -936

***

Density functional theory data (PBE) for crystalline NaReCl3 at its relaxed geometry.

Unit cell a=4.9288 b=4.9288 c=4.9288 alpha=90.00 beta=90.00 gamma=90.00
Closest atoms and distances in Å follow each position.
Fractional coordinates of all 5 atoms:
Na 0.0000 0.0000 0.0000  12 Cl 3.49
Re 0.5000 0.5000 0.5000  6 Cl 2.46
Cl 0.0000 0.5000 0.5000  2 Re 2.46
Cl 0.5000 0.0000 0.5000  2 Re 2.46
Cl 0.5000 0.5000 0.0000  2 Re 2.46

Output
- ΔE to the lowest computed polymorph (eV per atom) = 0.621
- formation energy from raw total energies (meV per atom) = -318

***

Density functional theory data (PBE) for crystalline Na3ReCl at its relaxed geometry.

Unit cell a=5.8642 b=5.8642 c=5.8642 alpha=90.00 beta=90.00 gamma=90.00
Closest atoms and distances in Å follow each position.
Fractional coordinates of all 5 atoms:
Na 0.0000 0.0000 0.5000  2 Re 2.93
Na 0.0000 0.5000 0.0000  2 Re 2.93
Na 0.5000 0.0000 0.0000  2 Re 2.93
Re 0.0000 0.0000 0.0000  6 Na 2.93
Cl 0.5000 0.5000 0.5000  12 Na 4.15

Output
- ΔE to the lowest computed polymorph (eV per atom) = 0.360
- formation energy from raw total energies (meV per atom) = 962

***

Density functional theory data (PBE) for crystalline NaRe3Cl at its relaxed geometry.

Unit cell a=4.4120 b=4.4120 c=4.4120 alpha=90.00 beta=90.00 gamma=90.00
Closest atoms and distances in Å follow each position.
Fractional coordinates of all 5 atoms:
Na 0.0000 0.0000 0.0000  12 Re 3.12
Re 0.0000 0.5000 0.5000  2 Cl 2.21
Re 0.5000 0.0000 0.5000  2 Cl 2.21
Re 0.5000 0.5000 0.0000  2 Cl 2.21
Cl 0.5000 0.5000 0.5000  6 Re 2.21

Output
- ΔE to the lowest computed polymorph (eV per atom) = 0.000
- formation energy from raw total energies (meV per atom) = 1841

***

Density functional theory data (PBE) for crystalline NaReCl3 at its relaxed geometry.

Unit cell a=4.9805 b=4.9805 c=4.9805 alpha=90.00 beta=90.00 gamma=90.00
Closest atoms and distances in Å follow each position.
Fractional coordinates of all 5 atoms:
Na 0.0000 0.0000 0.0000  6 Cl 2.49
Re 0.5000 0.5000 0.5000  12 Cl 3.52
Cl 0.0000 0.0000 0.5000  2 Na 2.49
Cl 0.0000 0.5000 0.0000  2 Na 2.49
Cl 0.5000 0.0000 0.0000  2 Na 2.49

Output
- ΔE to the lowest computed polymorph (eV per atom) = 1.406
- formation energy from raw total energies (meV per atom) = 467

***

Density functional theory data (PBE) for crystalline NaReCl3 at its relaxed geometry.

Unit cell a=3.5841 b=7.9379 c=8.1652 alpha=113.11 beta=92.40 gamma=90.69
Closest atoms and distances in Å follow each position.
Fractional coordinates of all 10 atoms:
Na 0.0000 0.0000 0.0000  7 Cl 2.84-2.96
Na 0.4683 0.7516 0.3599  7 Cl 2.84-2.95
Re 0.5160 0.4486 0.7826  2 Re 2.32-2.51, 2 Cl 2.32-2.35
Re 0.9557 0.3030 0.5775  2 Re 2.32-2.51, 2 Cl 2.32-2.35
Cl 0.4894 0.7308 0.7529  1 Re 2.35
Cl 0.5060 0.2724 0.9523  1 Re 2.32
Cl 0.5262 0.0906 0.2947  1 Re 2.67, 3 Na 2.84-2.95
Cl 0.9428 0.6613 0.0658  1 Re 2.67, 3 Na 2.84-2.95
Cl 0.9652 0.4793 0.4080  1 Re 2.32
Cl 0.9813 0.0208 0.6073  1 Re 2.35

Output
- ΔE to the lowest computed polymorph (eV per atom) = 0.000
- formation energy from raw total energies (meV per atom) = -939